Record 1
Cs6Ge2O7 | PBE | relaxed

## Properties
Uncorrected formation energy ... -1.65 eV per atom
Crystal system ... monoclinic
ρ ... 4.8 g/cm3

a = 9.9258 Å, b = 7.3317 Å, c = 12.3311 Å
α = 54.50°, β = 90.00°, γ = 90.00°
With the nearest neighbours (Å) after each atom.
Fractional coordinates of all 30 atoms:
Cs 0.7830 0.6056 0.2768  6 O 3.05-3.24
Cs 0.6445 0.9657 0.9129  5 O 3.07-3.28
Cs 0.5270 0.2077 0.5439  5 O 3.00-3.26
Cs 0.0270 0.7923 0.9561  5 O 3.00-3.26
Cs 0.2830 0.3944 0.2232  6 O 3.05-3.24
Cs 0.1445 0.0343 0.5871  5 O 3.07-3.28
Cs 0.8555 0.9657 0.4129  5 O 3.07-3.28
Cs 0.7170 0.6056 0.7768  6 O 3.05-3.24
Cs 0.9730 0.2077 0.0439  5 O 3.00-3.26
Cs 0.4730 0.7923 0.4561  5 O 3.00-3.26
Cs 0.3555 0.0343 0.0871  5 O 3.07-3.28
Cs 0.2170 0.3944 0.7232  6 O 3.05-3.24
Ge 0.8656 0.3283 0.6246  4 O 1.78-1.87
Ge 0.3656 0.6717 0.8754  4 O 1.78-1.87
Ge 0.6344 0.3283 0.1246  4 O 1.78-1.87
Ge 0.1344 0.6717 0.3754  4 O 1.78-1.87
O 0.0000 0.5000 0.5000  2 Ge 1.87
O 0.0800 0.7357 0.2195  1 Ge 1.78
O 0.2799 0.4966 0.4351  1 Ge 1.78
O 0.3426 0.9151 0.8726  1 Ge 1.78
O 0.8426 0.0849 0.6274  1 Ge 1.78
O 0.7799 0.5034 0.0649  1 Ge 1.78
O 0.5800 0.2643 0.2805  1 Ge 1.78
O 0.5000 0.5000 0.0000  2 Ge 1.87
O 0.4200 0.7357 0.7195  1 Ge 1.78
O 0.2201 0.4966 0.9351  1 Ge 1.78
O 0.1574 0.9151 0.3726  1 Ge 1.78
O 0.6574 0.0849 0.1274  1 Ge 1.78
O 0.7201 0.5034 0.5649  1 Ge 1.78
O 0.9200 0.2643 0.7805  1 Ge 1.78

---

Record 2
Pm6NdSmY2 | PBE | relaxed

## Properties
Crystal system ... monoclinic
ρ ... 6.5 g/cm3
DFT formation energy ... 11.33 kJ/mol of atoms

a = 9.6312 Å, b = 8.9675 Å, c = 8.9675 Å
α = 116.62°, β = 93.34°, γ = 93.34°
With the nearest neighbours (Å) after each atom.
Fractional coordinates of all 20 atoms:
Pm 0.0581 0.1094 0.7606  7 Pm 3.47-3.81, 1 Y 3.53, 2 Sm 3.71-3.75
Pm 0.4419 0.2394 0.8906  7 Pm 3.47-3.81, 1 Y 3.53, 2 Sm 3.71-3.75
Pm 0.9419 0.8906 0.2394  7 Pm 3.47-3.81, 1 Y 3.53, 2 Sm 3.71-3.75
Pm 0.5581 0.7606 0.1094  7 Pm 3.47-3.81, 1 Y 3.53, 2 Sm 3.71-3.75
Pm 0.3172 0.9877 0.4393  2 Pm 3.25-3.59, 1 Nd 3.50, 1 Y 3.52, 1 Sm 3.55
Pm 0.1828 0.5607 0.0123  2 Pm 3.25-3.59, 1 Nd 3.50, 1 Y 3.52, 1 Sm 3.55
Pm 0.6828 0.0123 0.5607  2 Pm 3.25-3.59, 1 Nd 3.50, 1 Y 3.52, 1 Sm 3.55
Pm 0.8172 0.4393 0.9877  2 Pm 3.25-3.59, 1 Nd 3.50, 1 Y 3.52, 1 Sm 3.55
Pm 0.1169 0.7056 0.4797  3 Pm 3.25-3.47, 3 Y 3.37-3.53, 2 Nd 3.53-3.56
Pm 0.3831 0.5203 0.2944  3 Pm 3.25-3.47, 3 Y 3.37-3.53, 2 Nd 3.53-3.56
Pm 0.8831 0.2944 0.5203  3 Pm 3.25-3.47, 3 Y 3.37-3.53, 2 Nd 3.53-3.56
Pm 0.6169 0.4797 0.7056  3 Pm 3.25-3.47, 3 Y 3.37-3.53, 2 Nd 3.53-3.56
Nd 0.2500 0.4078 0.5922  6 Pm 3.50-3.56, 2 Y 3.59
Nd 0.7500 0.5922 0.4078  6 Pm 3.50-3.56, 2 Y 3.59
Sm 0.2500 0.9646 0.0354  4 Y 3.42-3.51, 6 Pm 3.55-3.75
Sm 0.7500 0.0354 0.9646  4 Y 3.42-3.51, 6 Pm 3.55-3.75
Y 0.4497 0.7999 0.7051  6 Pm 3.37-3.69, 2 Sm 3.42-3.51, 1 Nd 3.59
Y 0.0503 0.2949 0.2001  6 Pm 3.37-3.69, 2 Sm 3.42-3.51, 1 Nd 3.59
Y 0.5503 0.2001 0.2949  6 Pm 3.37-3.69, 2 Sm 3.42-3.51, 1 Nd 3.59
Y 0.9497 0.7051 0.7999  6 Pm 3.37-3.69, 2 Sm 3.42-3.51, 1 Nd 3.59

---

Record 3
Na2CrBiPb | PBE | relaxed

## Properties
Crystal system ... tetragonal
ρ ... 4.3 g/cm3
DFT formation energy ... 74.96 kJ/mol of atoms

a = 5.7588 Å, b = 6.0391 Å, c = 5.7588 Å
α = 90.00°, β = 90.00°, γ = 90.00°
With the nearest neighbours (Å) after each atom.
Fractional coordinates of all 5 atoms:
Pb 0.0000 0.0000 0.0000  4 Na 2.88, 2 Bi 3.02
Cr 0.5000 0.5000 0.5000  4 Bi 4.07, 8 Na 4.17
Bi 0.0000 0.5000 0.0000  2 Pb 3.02
Na 0.0000 0.0000 0.5000  2 Pb 2.88
Na 0.5000 0.0000 0.0000  2 Pb 2.88

---

Record 4
NdTh2 | PBE | relaxed

## Properties
Crystal system ... orthorhombic
ρ ... 10.0 g/cm3
DFT formation energy ... 6.40 kJ/mol of atoms

a = 3.5917 Å, b = 6.9611 Å, c = 9.5666 Å
α = 84.44°, β = 100.82°, γ = 121.08°
With the nearest neighbours (Å) after each atom.
Fractional coordinates of all 6 atoms:
Nd 0.4707 0.7500 0.9414  6 Nd 3.59-3.65, 6 Th 3.61-3.72
Nd 0.5293 0.2500 0.0586  6 Nd 3.59-3.65, 6 Th 3.61-3.72
Th 0.8041 0.7500 0.6083  10 Th 3.50-3.61, 2 Nd 3.61
Th 0.1442 0.7500 0.2884  8 Th 3.50-3.61, 4 Nd 3.68-3.72
Th 0.8558 0.2500 0.7116  8 Th 3.50-3.61, 4 Nd 3.68-3.72
Th 0.1959 0.2500 0.3917  10 Th 3.50-3.61, 2 Nd 3.61

---

Record 5
Zn2FeRh | PBE | relaxed

## Properties
Crystal system ... orthorhombic
ρ ... 8.7 g/cm3
DFT formation energy ... 1.03 kJ/mol of atoms

a = 2.6591 Å, b = 2.6591 Å, c = 8.6508 Å
α = 90.00°, β = 90.00°, γ = 114.85°
With the nearest neighbours (Å) after each atom.
Fractional coordinates of all 4 atoms:
Fe 0.0000 0.0000 0.5019  2 Rh 2.54, 2 Zn 2.54, 4 Fe 2.66
Rh 0.5000 0.5000 0.7444  2 Fe 2.54, 2 Zn 2.60, 4 Rh 2.66
Zn 0.0000 0.0000 0.9949  2 Rh 2.60, 8 Zn 2.66-2.86
Zn 0.5000 0.5000 0.2587  2 Fe 2.54, 6 Zn 2.66-2.69

---

Record 6
ScTeRh | PBE | relaxed

## Properties
Uncorrected formation energy ... -0.65 eV per atom
Crystal system ... tetragonal
ρ ... 7.6 g/cm3

a = 5.0906 Å, b = 5.0912 Å, c = 3.7058 Å
α = 68.65°, β = 68.66°, γ = 42.69°
With the nearest neighbours (Å) after each atom.
Fractional coordinates of all 3 atoms:
Rh 0.0189 0.0189 0.9811  1 Te 2.68, 4 Sc 2.88
Sc 0.6549 0.6549 0.3451  5 Te 2.87-3.02, 5 Rh 2.88-3.18
Te 0.3262 0.3262 0.6738  1 Rh 2.68, 1 Sc 2.87

---

Record 7
Mg5In2RuRh2 | PBE | relaxed

## Properties
Crystal system ... tetragonal
ρ ... 6.0 g/cm3
DFT formation energy ... -20.97 kJ/mol of atoms

a = 4.1447 Å, b = 9.3805 Å, c = 9.3805 Å
α = 90.00°, β = 90.00°, γ = 90.00°
With the nearest neighbours (Å) after each atom.
Fractional coordinates of all 20 atoms:
Mg 0.5000 0.1973 0.0763  2 Rh 2.70, 4 Mg 2.81-3.00, 2 Ru 2.87
Mg 0.5000 0.8027 0.9237  2 Rh 2.70, 4 Mg 2.81-3.00, 2 Ru 2.87
Mg 0.5000 0.0763 0.8027  2 Rh 2.70, 4 Mg 2.81-3.00, 2 Ru 2.87
Mg 0.5000 0.6973 0.4237  2 Rh 2.70, 4 Mg 2.81-3.00, 2 Ru 2.87
Mg 0.5000 0.9237 0.1973  2 Rh 2.70, 4 Mg 2.81-3.00, 2 Ru 2.87
Mg 0.5000 0.3027 0.5763  2 Rh 2.70, 4 Mg 2.81-3.00, 2 Ru 2.87
Mg 0.5000 0.5763 0.6973  2 Rh 2.70, 4 Mg 2.81-3.00, 2 Ru 2.87
Mg 0.5000 0.4237 0.3027  2 Rh 2.70, 4 Mg 2.81-3.00, 2 Ru 2.87
Mg 0.5000 0.5000 0.0000  4 Rh 2.65, 4 Mg 2.93
Mg 0.5000 0.0000 0.5000  4 Rh 2.65, 4 Mg 2.93
In 0.0000 0.6715 0.1715  3 Rh 2.71-2.81
In 0.0000 0.3285 0.8285  3 Rh 2.71-2.81
In 0.0000 0.1715 0.3285  3 Rh 2.71-2.81
In 0.0000 0.8285 0.6715  3 Rh 2.71-2.81
Ru 0.0000 0.0000 0.0000  8 Mg 2.87
Ru 0.0000 0.5000 0.5000  8 Mg 2.87
Rh 0.0000 0.1245 0.6245  6 Mg 2.65-2.70, 3 In 2.71-2.81
Rh 0.0000 0.8755 0.3755  6 Mg 2.65-2.70, 3 In 2.71-2.81
Rh 0.0000 0.6245 0.8755  6 Mg 2.65-2.70, 3 In 2.71-2.81
Rh 0.0000 0.3755 0.1245  6 Mg 2.65-2.70, 3 In 2.71-2.81

---

Record 8
Ca2Be3AgGe4 | PBE | relaxed

## Properties
Crystal system ... tetragonal
ρ ... 4.8 g/cm3
DFT formation energy ... -22.42 kJ/mol of atoms

a = 4.1079 Å, b = 4.1079 Å, c = 10.2675 Å
α = 90.00°, β = 90.00°, γ = 90.00°
With the nearest neighbours (Å) after each atom.
Fractional coordinates of all 10 atoms:
Ca 0.5000 0.0000 0.2457  8 Ge 3.10-3.25, 6 Be 3.14-3.32, 2 Ag 3.32
Ca 0.0000 0.5000 0.7543  8 Ge 3.10-3.25, 6 Be 3.14-3.32, 2 Ag 3.32
Be 0.0000 0.0000 0.5000  4 Ge 2.56
Be 0.5000 0.0000 0.8706  5 Ge 2.28-2.45
Be 0.0000 0.5000 0.1294  5 Ge 2.28-2.45
Ag 0.5000 0.5000 0.5000  4 Ge 2.56
Ge 0.5000 0.5000 0.0000  4 Be 2.45
Ge 0.0000 0.0000 0.0000  4 Be 2.45
Ge 0.5000 0.0000 0.6488  1 Be 2.28
Ge 0.0000 0.5000 0.3512  1 Be 2.28

---

Record 9
TeRhSe2 | PBE | relaxed

## Properties
Uncorrected formation energy ... 0.27 eV per atom
Crystal system ... trigonal
ρ ... 6.5 g/cm3

a = 12.9521 Å, b = 12.9521 Å, c = 12.9521 Å
α = 13.21°, β = 13.21°, γ = 13.21°
With the nearest neighbours (Å) after each atom.
Fractional coordinates of all 4 atoms:
Te 0.5000 0.5000 0.5000  6 Te 2.98
Rh 0.0000 0.0000 0.0000  2 Se 2.38
Se 0.9381 0.9381 0.9381  1 Rh 2.38
Se 0.0619 0.0619 0.0619  1 Rh 2.38

---

Record 10
Tb5Sm3Er | PBE | relaxed

## Properties
Crystal system ... monoclinic
ρ ... 7.9 g/cm3
DFT formation energy ... 15.90 kJ/mol of atoms

a = 6.7155 Å, b = 12.1233 Å, c = 11.4394 Å
α = 135.83°, β = 90.00°, γ = 106.08°
With the nearest neighbours (Å) after each atom.
Fractional coordinates of all 18 atoms:
Tb 0.3183 0.0000 0.7500  1 Er 3.05, 2 Tb 3.06
Tb 0.7081 0.6494 0.0185  1 Tb 3.06, 2 Sm 3.35-3.38
Tb 0.6037 0.2148 0.1698  5 Tb 3.33-3.68, 4 Sm 3.49-3.73, 1 Er 3.71
Tb 0.2919 0.3506 0.9815  1 Tb 3.06, 2 Sm 3.35-3.38
Tb 0.3889 0.7852 0.3302  5 Tb 3.33-3.68, 4 Sm 3.49-3.73, 1 Er 3.71
Tb 0.6817 0.0000 0.2500  1 Er 3.05, 2 Tb 3.06
Tb 0.9413 0.6494 0.5185  1 Tb 3.06, 2 Sm 3.35-3.38
Tb 0.0587 0.3506 0.4815  1 Tb 3.06, 2 Sm 3.35-3.38
Tb 0.6111 0.2148 0.6698  5 Tb 3.33-3.68, 4 Sm 3.49-3.73, 1 Er 3.71
Tb 0.3963 0.7852 0.8302  5 Tb 3.33-3.68, 4 Sm 3.49-3.73, 1 Er 3.71
Sm 0.0000 0.0000 0.0000  2 Er 3.24, 2 Tb 3.57
Sm 0.3834 0.5249 0.3822  7 Tb 3.35-3.60, 1 Sm 3.60
Sm 0.0000 0.0000 0.5000  2 Er 3.24, 2 Tb 3.57
Sm 0.6166 0.4751 0.6178  7 Tb 3.35-3.60, 1 Sm 3.60
Sm 0.1415 0.5249 0.8822  7 Tb 3.35-3.60, 1 Sm 3.60
Sm 0.8585 0.4751 0.1178  7 Tb 3.35-3.60, 1 Sm 3.60
Er 0.7728 0.0000 0.7500  1 Tb 3.05, 2 Sm 3.24
Er 0.2272 0.0000 0.2500  1 Tb 3.05, 2 Sm 3.24